CdPtRh2: relaxed, PBE.

Cell lengths 3.976, 3.976, 7.984 Å; angles 90.00, 90.00, 90.00 degrees
Space group I-4m2 (No. 119)
Asymmetric unit:
Cd (0.000, 0.000, 0.000) x2
Pt (0.000, 0.500, 0.750) x2
Rh (0.000, 0.000, 0.500) x2
Rh (0.000, 0.500, 0.250) x2

Properties
Crystal system ... tetragonal
E ... -21.84 eV/f.u.
Formation energy from the elements ... -4.48 kJ/mol of atoms
N(E_F) ... 8.66 states/eV/cell